Here is a geometry-optimized Dy6Al7Cu16 structure from Alexandria. Energies are from PBE-GGA.

Values from the calculation:
Size of the total moment in μB per formula unit: 0.00
Formation enthalpy at 0 K in kJ/mol of formula units: -1043

a = 12.3358 Å, b = 12.3358 Å, c = 12.3358 Å
α = 90.00°, β = 90.00°, γ = 90.00°
Space group Fm-3m (No. 225)
One atom of each set of equivalent atoms:
Dy (0.0000, 0.0000, 0.2126) (multiplicity 24)
Al (0.0000, 0.0000, 0.5000) (multiplicity 4)
Al (0.0000, 0.2500, 0.2500) (multiplicity 24)
Cu (0.1215, 0.1215, 0.3785) (multiplicity 32)
Cu (0.1734, 0.1734, 0.1734) (multiplicity 32)